{"formula": "Ca3LaS", "functional": "PBE", "state": "optimized geometry", "energy_ry_per_atom": -0.26152, "m_tot_mub_per_cell": 0.9, "formation_energy_uncorrected_mev_per_atom": -546, "volume_a3_per_cell": 177, "dos_at_fermi_per_ev_cell": 14.57, "cell": [[5.610, 0.000, 0.000], [0.000, 5.610, 0.000], [0.000, 0.000, 5.610]], "species": ["La", "Ca", "S", "Ca", "Ca"], "fractional_positions": [[0.500, 0.500, 0.500], [0.500, 0.000, 0.000], [0.000, 0.000, 0.000], [0.000, 0.000, 0.500], [0.000, 0.500, 0.000]]}